No. 1
# ZrC (PBE-GGA, optimized geometry)
# DOS at the Fermi energy = 0.12 states/eV/atom
# E_form = -102 meV/atom
# relative energy among the computed polymorphs = 705.2 meV/atom
data_ZrC
_chemical_formula_sum 'Zr6 C6'
_space_group_name_H-M_alt 'A m m 2'
_space_group_IT_number 38
_cell_length_a 3.331
_cell_length_b 10.220
_cell_length_c 6.264
_cell_angle_alpha 90.00
_cell_angle_beta 90.00
_cell_angle_gamma 90.00
loop_
_space_group_symop_operation_xyz
'x,y,z'
'-x,-y,z'
'-x,y,z'
'x,-y,z'
'x,y+1/2,z+1/2'
'-x,-y+1/2,z+1/2'
'-x,y+1/2,z+1/2'
'x,-y+1/2,z+1/2'
loop_
_atom_site_label
_atom_site_fract_x
_atom_site_fract_y
_atom_site_fract_z
Zr1 0.000 0.000 0.000
Zr2 0.500 0.211 0.718
C1 0.000 0.226 0.974
C2 0.500 0.000 0.783

---

No. 2
# CaPr4Ir (PBE-GGA, optimized geometry)
# DOS at the Fermi energy = 1.53 states/eV/atom
# E_form = -157 meV/atom
data_CaPr4Ir
_chemical_formula_sum 'Ca4 Pr16 Ir4'
_space_group_name_H-M_alt 'I m m m'
_space_group_IT_number 71
_space_group_name_Hall '-I 2 2'
_cell_length_a 6.272
_cell_length_b 7.743
_cell_length_c 17.040
_cell_angle_alpha 90.00
_cell_angle_beta 90.00
_cell_angle_gamma 90.00
loop_
_atom_site_label
_atom_site_fract_x
_atom_site_fract_y
_atom_site_fract_z
Ca1 0.000 0.000 0.200
Pr1 0.000 0.209 0.000
Pr2 0.000 0.248 0.390
Pr3 0.000 0.500 0.166
Ir1 0.228 0.000 0.500

---

No. 3
# Sc6TlBi (PBE-GGA, optimized geometry)
# DOS at the Fermi energy = 1.02 states/eV/atom
# E_form = -259 meV/atom
# relative energy among the computed polymorphs = 0.0 meV/atom
data_Sc6TlBi
_chemical_formula_sum 'Sc6 Tl1 Bi1'
_space_group_name_H-M_alt 'P 4/m m m'
_space_group_IT_number 123
_space_group_name_Hall '-P 4 2'
_cell_length_a 4.556
_cell_length_b 4.556
_cell_length_c 9.106
_cell_angle_alpha 90.00
_cell_angle_beta 90.00
_cell_angle_gamma 90.00
loop_
_atom_site_label
_atom_site_fract_x
_atom_site_fract_y
_atom_site_fract_z
Sc1 0.000 0.000 0.000
Sc2 0.000 0.000 0.500
Sc3 0.000 0.500 0.245
Tl1 0.500 0.500 0.000
Bi1 0.500 0.500 0.500

---

No. 4
# RbNa2MoCl8 (PBE-GGA, optimized geometry)
# DOS at the Fermi energy = 0.88 states/eV/atom
# ΔE_f (raw) = -1248.9 meV/atom
data_RbNa2MoCl8
_chemical_formula_sum 'Rb1 Na2 Mo1 Cl8'
_space_group_name_H-M_alt 'P -1'
_space_group_IT_number 2
_cell_length_a 6.131
_cell_length_b 6.259
_cell_length_c 9.196
_cell_angle_alpha 90.07
_cell_angle_beta 90.17
_cell_angle_gamma 94.03
loop_
_space_group_symop_operation_xyz
'x,y,z'
'-x,-y,-z'
loop_
_atom_site_label
_atom_site_fract_x
_atom_site_fract_y
_atom_site_fract_z
Rb1 0.000 0.000 0.000
Na1 0.499 0.500 0.749
Mo1 0.000 0.000 0.500
Cl1 0.223 0.859 0.318
Cl2 0.224 0.861 0.683
Cl3 0.232 0.322 0.499
Cl4 0.249 0.489 0.000